UVB | PBE | optimized geometry

calculated formation energy	-0.168	eV/atom
electronic total energy	-9.197	eV/atom
N(E_F)	22.9	states/eV per cell
relative energy among the computed polymorphs	0	meV/atom
magnetization	0.0697	μB/atom

a b c (Å): 3.004 5.195 10.558
angles (deg): 90.00 90.00 90.00
Positions (direct):
V 0.000 0.845 0.674
V 0.500 0.155 0.174
V 0.000 0.345 0.826
V 0.500 0.655 0.326
U 0.500 0.834 0.896
U 0.500 0.334 0.604
U 0.000 0.166 0.396
U 0.000 0.666 0.104
B 0.500 0.824 0.522
B 0.000 0.176 0.022
B 0.000 0.676 0.478
B 0.500 0.324 0.978



K3NaP4H4O14 | PBE | optimized geometry

electronic total energy	-6.156	eV/atom
N(E_F)	0.0	states/eV per cell
relative energy among the computed polymorphs	42	meV/atom
magnetization	0.0000	μB/atom

a b c (Å): 7.378 9.604 11.448
angles (deg): 98.74 90.00 112.59
Positions (direct):
O 0.801 0.238 0.515
O 0.370 0.526 0.193
O 0.037 0.318 0.209
O 0.281 0.318 0.709
O 0.431 0.878 0.331
O 0.963 0.682 0.791
O 0.832 0.557 0.105
O 0.569 0.122 0.669
O 0.168 0.443 0.895
O 0.919 0.266 0.736
O 0.563 0.762 0.985
O 0.719 0.682 0.291
O 0.177 0.992 0.400
O 0.199 0.762 0.485
O 0.437 0.238 0.015
O 0.185 0.008 0.100
O 0.815 0.992 0.900
O 0.724 0.557 0.605
O 0.845 0.474 0.307
O 0.823 0.008 0.600
O 0.081 0.734 0.264
O 0.276 0.443 0.395
O 0.448 0.878 0.831
O 0.155 0.526 0.693
O 0.652 0.734 0.764
O 0.552 0.122 0.169
O 0.630 0.474 0.807
O 0.348 0.266 0.236
P 0.787 0.153 0.617
P 0.634 0.847 0.883
P 0.856 0.608 0.237
P 0.366 0.153 0.117
P 0.213 0.847 0.383
P 0.144 0.392 0.763
P 0.752 0.608 0.737
P 0.248 0.392 0.263
H 0.508 0.592 0.235
H 0.492 0.408 0.765
H 0.576 0.125 0.754
H 0.084 0.592 0.735
H 0.424 0.875 0.246
H 0.916 0.408 0.265
H 0.451 0.875 0.746
H 0.549 0.125 0.254
K 0.897 0.000 0.250
K 0.563 0.724 0.500
K 0.103 0.000 0.750
K 0.437 0.276 0.500
K 0.839 0.276 0.000
K 0.161 0.724 0.000
Na 0.500 0.500 0.000
Na 0.000 0.500 0.500